Compound: KPrSi2O6
Source: Alexandria via LeMat-Bulk
Functional: PBE-GGA
Structure: optimized geometry

The structure belongs to space group C2/c (No. 15); the cell edges are 10.5477, 10.4047 and 5.4107 Å and the angles 90.00°, 100.92° and 90.00°. The inequivalent atoms are K at (0.0000, 0.1645, 0.2500), Pr at (0.0000, 0.3768, 0.7500), Si at (0.2201, 0.0807, 0.7763), O at (0.1219, 0.4235, 0.1621), O at (0.1491, 0.2178, 0.7217) and O at (0.1684, 0.0116, 0.0207).

Its energy relative to the elements, uncorrected is -28.414 eV per formula unit.



Compound: Li2CuAg
Source: Alexandria via LeMat-Bulk
Functional: PBE-GGA
Structure: optimized geometry

The structure belongs to space group R-3m (No. 166, hexagonal axes); the cell edges are 2.8637, 2.8637 and 25.5181 Å and the angles 90.00°, 90.00° and 120.00°. The inequivalent atoms are Li at (0.0000, 0.0000, 0.2453), Cu at (0.0000, 0.0000, 0.5000) and Ag at (0.0000, 0.0000, 0.0000).

The calculated formation energy is -0.009 eV/atom.



Compound: Rb3AsI6
Source: Alexandria via LeMat-Bulk
Functional: PBE-GGA
Structure: optimized geometry

The structure belongs to space group Fm-3m (No. 225); the cell edges are 12.6675, 12.6675 and 12.6675 Å and the angles 90.00°, 90.00° and 90.00°. The inequivalent atoms are Rb at (0.0000, 0.0000, 0.0000), Rb at (0.2500, 0.2500, 0.2500), As at (0.0000, 0.0000, 0.5000) and I at (0.0000, 0.0000, 0.2731).

For the energy above the lowest structure with this stoichiometry, the calculation gives 55 meV per atom. Its energy relative to the elements, uncorrected is -8.958 eV per formula unit.



Compound: Ho2ErCdHg4
Source: Alexandria via LeMat-Bulk
Functional: PBE-GGA
Structure: optimized geometry

The structure belongs to space group R-3m (No. 166, hexagonal axes); the cell edges are 5.1271, 5.1271 and 25.7550 Å and the angles 90.00°, 90.00° and 120.00°. The inequivalent atoms are Ho at (0.0000, 0.0000, 0.2433), Er at (0.0000, 0.0000, 0.0000), Cd at (0.0000, 0.0000, 0.5000), Hg at (0.0000, 0.0000, 0.1221) and Hg at (0.0000, 0.0000, 0.3692).

The calculated formation energy is -0.430 eV/atom.



Compound: Pm4NdHo3S8
Source: Alexandria via LeMat-Bulk
Functional: PBE-GGA
Structure: optimized geometry

The structure belongs to space group R-3m (No. 166, hexagonal axes); the cell edges are 7.9486, 7.9486 and 19.6226 Å and the angles 90.00°, 90.00° and 120.00°. The inequivalent atoms are Pm at (0.0000, 0.0000, 0.0000), Pm at (0.0000, 0.5000, 0.0000), Nd at (0.0000, 0.0000, 0.5000), Ho at (0.0000, 0.5000, 0.5000), S at (0.0000, 0.0000, 0.2449) and S at (0.0083, 0.5041, 0.7531).

Its energy relative to the elements, uncorrected is -32.084 eV per formula unit.



Compound: Li6Sn3Pb
Source: Alexandria via LeMat-Bulk
Functional: PBE-GGA
Structure: optimized geometry

The structure belongs to space group Cmc2_1 (No. 36); the cell edges are 10.6477, 14.8245 and 5.5119 Å and the angles 90.00°, 90.00° and 90.00°. The inequivalent atoms are Li at (0.0000, 0.0569, 0.0000), Li at (0.0000, 0.2728, 0.2828), Li at (0.2233, 0.4976, 0.2561), Li at (0.2481, 0.3153, 0.5091), Sn at (0.0000, 0.4525, 0.5051), Sn at (0.1411, 0.1298, 0.4941) and Pb at (0.0000, 0.2724, 0.7972).

For the energy above the lowest structure with this stoichiometry, the calculation gives 39 meV per atom. The calculated formation energy is -0.284 eV/atom.



Compound: TlTe2Os
Source: Alexandria via LeMat-Bulk
Functional: PBE-GGA
Structure: optimized geometry

The structure belongs to space group P4mm (No. 99); the cell edges are 3.2293, 3.2293 and 9.8715 Å and the angles 90.00°, 90.00° and 90.00°. The inequivalent atoms are Tl at (0.0000, 0.0000, 0.0000), Te at (0.0000, 0.0000, 0.3744), Te at (0.5000, 0.5000, 0.7119) and Os at (0.5000, 0.5000, 0.2336).

For the energy above the lowest structure with this stoichiometry, the calculation gives 244 meV per atom. Its energy relative to the elements, uncorrected is 1.416 eV per formula unit.



Compound: Fe2CoSi
Source: Alexandria via LeMat-Bulk
Functional: PBE-GGA
Structure: optimized geometry

The structure belongs to space group P4mm (No. 99); the cell edges are 2.8298, 2.8298 and 5.5118 Å and the angles 90.00°, 90.00° and 90.00°. The inequivalent atoms are Fe at (0.0000, 0.0000, 0.0000), Fe at (0.5000, 0.5000, 0.2534), Co at (0.5000, 0.5000, 0.7360) and Si at (0.0000, 0.0000, 0.4932).

Its energy relative to the elements, uncorrected is -1.098 eV per formula unit.



Compound: NaPPdRu
Source: Alexandria via LeMat-Bulk
Functional: PBE-GGA
Structure: optimized geometry

The structure belongs to space group P4/nmm (No. 129, origin choice 2); the cell edges are 3.9142, 3.9142 and 10.2553 Å and the angles 90.00°, 90.00° and 90.00°. The inequivalent atoms are Na at (0.2500, 0.2500, 0.2287), P at (0.2500, 0.2500, 0.6196), Pd at (0.2500, 0.7500, 0.0000) and Ru at (0.2500, 0.7500, 0.5000).

The calculated formation energy is -0.251 eV/atom.



Compound: Ca3Si5
Source: Alexandria via LeMat-Bulk
Functional: PBE-GGA
Structure: optimized geometry

The structure belongs to space group Fdd2 (No. 43); the cell edges are 5.8475, 17.6850 and 13.8842 Å and the angles 90.00°, 90.00° and 90.00°. The inequivalent atoms are Ca at (0.0000, 0.0000, 0.0000), Ca at (0.0161, 0.1697, 0.5019), Si at (0.0000, 0.0000, 0.5719), Si at (0.0082, 0.1641, 0.0853) and Si at (0.0188, 0.1691, 0.9157).

For the energy above the lowest structure with this stoichiometry, the calculation gives 0 meV per atom. Its energy relative to the elements, uncorrected is -2.946 eV per formula unit.



Compound: KSmHfZrO6
Source: Alexandria via LeMat-Bulk
Functional: PBE-GGA
Structure: optimized geometry

The structure belongs to space group F-43m (No. 216); the cell edges are 8.2845, 8.2845 and 8.2845 Å and the angles 90.00°, 90.00° and 90.00°. The inequivalent atoms are K at (0.0000, 0.0000, 0.0000), Sm at (0.0000, 0.0000, 0.5000), Hf at (0.2500, 0.2500, 0.7500), Zr at (0.2500, 0.2500, 0.2500) and O at (0.0018, 0.2500, 0.7500).

Its energy relative to the elements, uncorrected is -30.105 eV per formula unit.



Compound: SrThVN3
Source: Alexandria via LeMat-Bulk
Functional: PBE-GGA
Structure: optimized geometry

The structure belongs to space group P2_1/m (No. 11); the cell edges are 7.6943, 3.6052 and 7.7094 Å and the angles 90.00°, 97.47° and 90.00°. The inequivalent atoms are Sr at (0.1785, 0.2500, 0.1654), Th at (0.1781, 0.2500, 0.6309), V at (0.4098, 0.7500, 0.9099), N at (0.1283, 0.7500, 0.4190), N at (0.1686, 0.7500, 0.8697) and N at (0.4826, 0.2500, 0.8465).

Its energy relative to the elements, uncorrected is -6.838 eV per formula unit.



Final energy
In order: -7.49; -2.70; -2.58; -2.41; -6.41; -3.00; -4.62; -7.64; -5.55; -4.51; -8.42; -8.34
Unit: eV/atom